Record 1
# SrDyCu

Crystalline SrDyCu at its relaxed geometry (GGA-PBE, Alexandria).

Properties
Symmetry = No. 38
Energy relative to the lowest polymorph listed for this composition = 139 meV per atom

Unit cell a=3.889 b=3.896 c=14.466 alpha=90.00 beta=90.00 gamma=119.94
Fractional coordinates of all 6 atoms:
Cu (0.611, 0.221, 0.000)
Cu (0.278, 0.556, 0.500)
Dy (0.611, 0.222, 0.377)
Dy (0.611, 0.222, 0.623)
Sr (0.278, 0.556, 0.853)
Sr (0.278, 0.556, 0.147)


Record 2
# SrDy2Cu

Crystalline SrDy2Cu at its relaxed geometry (GGA-PBE, Alexandria).

Properties
Symmetry = No. 123
Energy relative to the lowest polymorph listed for this composition = 0 meV per atom

Unit cell a=3.579 b=3.579 c=9.534 alpha=90.00 beta=90.00 gamma=90.00
Fractional coordinates of all 4 atoms:
Sr (0.500, 0.500, 0.500)
Cu (0.500, 0.500, 0.000)
Dy (0.000, 0.000, 0.829)
Dy (0.000, 0.000, 0.171)


Record 3
# Sr2DyCu9

Crystalline Sr2DyCu9 at its relaxed geometry (GGA-PBE, Alexandria).

Properties
Symmetry = No. 166
Total DFT energy (no corrections) = -3.795 eV per atom

Unit cell a=5.226 b=5.226 c=9.218 alpha=73.53 beta=73.53 gamma=60.00
Fractional coordinates of all 12 atoms:
Sr (0.860, 0.860, 0.420)
Sr (0.140, 0.140, 0.580)
Dy (0.000, 0.000, 0.000)
Cu (0.668, 0.668, 0.995)
Cu (0.332, 0.332, 0.005)
Cu (0.500, 0.500, 0.500)
Cu (0.426, 0.426, 0.231)
Cu (0.917, 0.426, 0.231)
Cu (0.426, 0.917, 0.231)
Cu (0.574, 0.574, 0.769)
Cu (0.574, 0.083, 0.769)
Cu (0.083, 0.574, 0.769)


Record 4
# SrDyCu

Crystalline SrDyCu at its relaxed geometry (GGA-PBE, Alexandria).

Properties
Symmetry = No. 107
Energy relative to the lowest polymorph listed for this composition = 0 meV per atom

Unit cell a=3.656 b=3.656 c=7.081 alpha=104.96 beta=104.96 gamma=90.00
Fractional coordinates of all 3 atoms:
Sr (0.023, 0.023, 0.047)
Cu (0.687, 0.687, 0.374)
Dy (0.290, 0.290, 0.579)


Record 5
# SrDy2Cu

Crystalline SrDy2Cu at its relaxed geometry (GGA-PBE, Alexandria).

Properties
Symmetry = No. 166
Energy relative to the lowest polymorph listed for this composition = 206 meV per atom

Unit cell a=3.791 b=3.791 c=10.996 alpha=80.07 beta=80.07 gamma=60.00
Fractional coordinates of all 4 atoms:
Sr (0.000, 0.000, 0.000)
Cu (0.500, 0.500, 0.500)
Dy (0.112, 0.112, 0.663)
Dy (0.888, 0.888, 0.337)


Record 6
# SrDyCuTe3

Crystalline SrDyCuTe3 at its relaxed geometry (GGA-PBE, Alexandria).

Properties
Symmetry = No. 11
E_form (uncorrected) = -1.19 eV/atom

Unit cell a=4.347 b=9.131 c=9.734 alpha=103.85 beta=90.00 gamma=90.00
Fractional coordinates of all 12 atoms:
Sr (0.250, 0.186, 0.247)
Sr (0.750, 0.814, 0.753)
Dy (0.250, 0.675, 0.164)
Dy (0.750, 0.325, 0.836)
Cu (0.250, 0.075, 0.579)
Cu (0.750, 0.925, 0.421)
Te (0.750, 0.902, 0.137)
Te (0.250, 0.098, 0.863)
Te (0.250, 0.775, 0.483)
Te (0.750, 0.225, 0.517)
Te (0.750, 0.436, 0.167)
Te (0.250, 0.564, 0.833)


Record 7
# SrDyCu2Te4

Crystalline SrDyCu2Te4 at its relaxed geometry (GGA-PBE, Alexandria).

Properties
Symmetry = No. 23
E_form (uncorrected) = -0.68 eV/atom

Unit cell a=7.056 b=6.825 c=6.825 alpha=71.03 beta=58.88 gamma=58.88
Fractional coordinates of all 8 atoms:
Sr (0.000, 0.000, 0.000)
Dy (0.500, 0.500, 0.500)
Cu (0.151, 0.349, 0.349)
Cu (0.849, 0.651, 0.651)
Te (0.469, 0.075, 0.513)
Te (0.057, 0.925, 0.487)
Te (0.943, 0.513, 0.075)
Te (0.531, 0.487, 0.925)


Record 8
# SrDyTlCu

Crystalline SrDyTlCu at its relaxed geometry (GGA-PBE, Alexandria).

Properties
Symmetry = No. 216
Total DFT energy (no corrections) = -3.322 eV per atom

Unit cell a=5.361 b=5.361 c=5.361 alpha=60.00 beta=60.00 gamma=60.00
Fractional coordinates of all 4 atoms:
Sr (0.500, 0.500, 0.500)
Tl (0.250, 0.250, 0.250)
Cu (0.750, 0.750, 0.750)
Dy (0.000, 0.000, 0.000)


Record 9
# SrDyZnCu

Crystalline SrDyZnCu at its relaxed geometry (GGA-PBE, Alexandria).

Properties
Symmetry = No. 216
Total DFT energy (no corrections) = -3.005 eV per atom

Unit cell a=5.176 b=5.176 c=5.176 alpha=60.00 beta=60.00 gamma=60.00
Fractional coordinates of all 4 atoms:
Sr (0.500, 0.500, 0.500)
Zn (0.750, 0.750, 0.750)
Cu (0.250, 0.250, 0.250)
Dy (0.000, 0.000, 0.000)


Record 10
# Tb4DyCu

Crystalline Tb4DyCu at its relaxed geometry (GGA-PBE, Alexandria).

Properties
Symmetry = No. 123
Total DFT energy (no corrections) = -4.591 eV per atom

Unit cell a=3.520 b=3.520 c=13.732 alpha=90.00 beta=90.00 gamma=90.00
Fractional coordinates of all 6 atoms:
Tb (0.500, 0.500, 0.183)
Tb (0.000, 0.000, 0.625)
Tb (0.000, 0.000, 0.375)
Tb (0.500, 0.500, 0.817)
Dy (0.000, 0.000, 0.000)
Cu (0.500, 0.500, 0.500)


Record 11
# Tb4DyCu5

Crystalline Tb4DyCu5 at its relaxed geometry (GGA-PBE, Alexandria).

Properties
Symmetry = No. 123
Total DFT energy (no corrections) = -4.606 eV per atom

Unit cell a=3.465 b=3.465 c=17.551 alpha=90.00 beta=90.00 gamma=90.00
Fractional coordinates of all 10 atoms:
Tb (0.000, 0.000, 0.199)
Tb (0.000, 0.000, 0.400)
Tb (0.000, 0.000, 0.600)
Tb (0.000, 0.000, 0.801)
Dy (0.000, 0.000, 0.000)
Cu (0.500, 0.500, 0.099)
Cu (0.500, 0.500, 0.300)
Cu (0.500, 0.500, 0.500)
Cu (0.500, 0.500, 0.700)
Cu (0.500, 0.500, 0.901)


Record 12
# TbDy4Cu4

Crystalline TbDy4Cu4 at its relaxed geometry (GGA-PBE, Alexandria).

Properties
Symmetry = No. 86
Total DFT energy (no corrections) = -4.414 eV per atom

Unit cell a=5.905 b=8.611 c=8.611 alpha=90.00 beta=90.00 gamma=90.00
Fractional coordinates of all 18 atoms:
Tb (0.000, 0.000, 0.000)
Tb (0.500, 0.500, 0.500)
Dy (0.401, 0.306, 0.913)
Dy (0.901, 0.587, 0.806)
Dy (0.401, 0.694, 0.087)
Dy (0.099, 0.194, 0.587)
Dy (0.599, 0.913, 0.694)
Dy (0.099, 0.806, 0.413)
Dy (0.901, 0.413, 0.194)
Dy (0.599, 0.087, 0.306)
Cu (0.624, 0.774, 0.370)
Cu (0.624, 0.226, 0.630)
Cu (0.124, 0.870, 0.726)
Cu (0.876, 0.274, 0.870)
Cu (0.876, 0.726, 0.130)
Cu (0.376, 0.370, 0.226)
Cu (0.376, 0.630, 0.774)
Cu (0.124, 0.130, 0.274)


The records above yield M_tot values of 0.0 0.0 0.0 0.0 0.0 0.0 0.0 0.0 0.0 0.0 0.0 0.0 μB per formula unit, respectively.